Entry 1:
Computed, not measured: crystalline Tb2PmSbN4 at its relaxed geometry at the PBE level of DFT.

Lattice parameters (Å, degrees): 3.338 13.594 11.508 90.00 90.00 90.00
Space group Cmcm (No. 63)
Asymmetric unit:
Tb1 0.000 0.131 0.004 (multiplicity 8)
Pm1 0.000 0.261 0.750 (multiplicity 4)
Sb1 0.000 0.489 0.250 (multiplicity 4)
N1 0.000 0.091 0.250 (multiplicity 4)
N2 0.000 0.288 0.108 (multiplicity 8)
N3 0.000 0.500 0.000 (multiplicity 4)

Values from the calculation:
As for the total energy: -7.24 eV per atom.

---

Entry 2:
Computed, not measured: crystalline Tb4Pm2Sb3N2 at its relaxed geometry at the PBE level of DFT.

Lattice parameters (Å, degrees): 4.679 4.679 25.511 90.00 90.00 90.00
Space group I4/mmm (No. 139)
Asymmetric unit:
Tb1 0.000 0.500 0.083 (multiplicity 8)
Pm1 0.000 0.000 0.193 (multiplicity 4)
Sb1 0.000 0.000 0.323 (multiplicity 4)
Sb2 0.000 0.000 0.500 (multiplicity 2)
N1 0.000 0.000 0.100 (multiplicity 4)

Values from the calculation:
As for the total energy: -6.39 eV per atom.

---

Entry 3:
Computed, not measured: crystalline Pm4TlSbN at its relaxed geometry at the PBE level of DFT.

Lattice parameters (Å, degrees): 6.890 16.315 6.890 90.00 90.00 90.00
Space group Cmcm (No. 63)
Asymmetric unit:
Pm1 0.000 0.088 0.250 (multiplicity 4)
Pm2 0.000 0.410 0.250 (multiplicity 4)
Pm3 0.250 0.250 0.000 (multiplicity 8)
Tl1 0.000 0.109 0.750 (multiplicity 4)
Sb1 0.000 0.391 0.750 (multiplicity 4)
N1 0.000 0.246 0.250 (multiplicity 4)

Values from the calculation:
As for the total energy: -5.70 eV per atom.

---

Entry 4:
Computed, not measured: crystalline PmUSbN2 at its relaxed geometry at the PBE level of DFT.

Lattice parameters (Å, degrees): 3.929 3.929 12.604 90.00 90.00 90.00
Space group I4mm (No. 107)
Asymmetric unit:
Pm1 0.000 0.000 0.000 (multiplicity 2)
U1 0.000 0.000 0.321 (multiplicity 2)
Sb1 0.000 0.000 0.667 (multiplicity 2)
N1 0.000 0.500 0.393 (multiplicity 4)

Values from the calculation:
As for the total energy: -8.65 eV per atom.

---

Entry 5:
Computed, not measured: crystalline PmY2SbN4 at its relaxed geometry at the PBE level of DFT.

Lattice parameters (Å, degrees): 3.333 13.518 11.545 90.00 90.00 90.00
Space group Cmcm (No. 63)
Asymmetric unit:
Pm1 0.000 0.238 0.250 (multiplicity 4)
Y1 0.000 0.369 0.503 (multiplicity 8)
Sb1 0.000 0.012 0.750 (multiplicity 4)
N1 0.000 0.000 0.000 (multiplicity 4)
N2 0.000 0.213 0.608 (multiplicity 8)
N3 0.000 0.411 0.750 (multiplicity 4)

Values from the calculation:
As for the total energy: -7.70 eV per atom.

---

Entry 6:
Computed, not measured: crystalline Pm4Y2Sb3N2 at its relaxed geometry at the PBE level of DFT.

Lattice parameters (Å, degrees): 4.765 4.765 25.502 90.00 90.00 90.00
Space group I4/mmm (No. 139)
Asymmetric unit:
Pm1 0.000 0.500 0.084 (multiplicity 8)
Y1 0.000 0.000 0.193 (multiplicity 4)
Sb1 0.000 0.000 0.319 (multiplicity 4)
Sb2 0.000 0.000 0.500 (multiplicity 2)
N1 0.000 0.000 0.107 (multiplicity 4)

Values from the calculation:
As for the total energy: -6.69 eV per atom.

---

Entry 7:
Computed, not measured: crystalline Pm2ZrSbN5 at its relaxed geometry at the PBE level of DFT.

Lattice parameters (Å, degrees): 3.399 13.936 10.695 90.00 90.00 90.00
Space group Cmc2_1 (No. 36)
Asymmetric unit:
Pm1 0.000 0.112 0.000 (multiplicity 4)
Pm2 0.000 0.141 0.587 (multiplicity 4)
Zr1 0.000 0.224 0.310 (multiplicity 4)
Sb1 0.000 0.476 0.763 (multiplicity 4)
N1 0.000 0.055 0.362 (multiplicity 4)
N2 0.000 0.281 0.951 (multiplicity 4)
N3 0.000 0.317 0.679 (multiplicity 4)
N4 0.000 0.374 0.302 (multiplicity 4)
N5 0.000 0.492 0.079 (multiplicity 4)

Values from the calculation:
As for the total energy: -7.97 eV per atom.

---

Entry 8:
Computed, not measured: crystalline PmScN at its relaxed geometry at the PBE level of DFT.

Lattice parameters (Å, degrees): 3.3899 3.3899 6.0307 90.00 90.00 120.00
Space group P3m1 (No. 156)
Asymmetric unit:
Pm1 0.0000 0.0000 0.0000 (multiplicity 1)
Sc1 0.3333 0.6667 0.5662 (multiplicity 1)
N1 0.6667 0.3333 0.7338 (multiplicity 1)

Values from the calculation:
As for the total energy: -7.47 eV per atom. The offset from the most stable computed form is 2 kJ/mol of formula units.

---

What is the formula in the sixth record?
Pm4Y2Sb3N2

---

Number 6 is which compound?
Pm4Y2Sb3N2